Record 1
# GGA-PBE PrNdPtSe, optimized geometry
# E_form (uncorrected)	-1.427	eV/atom
# crystal system	trigonal
data_PrNdPtSe
_cell_length_a 4.1707
_cell_length_b 4.1707
_cell_length_c 22.0072
_cell_angle_alpha 90.00
_cell_angle_beta 90.00
_cell_angle_gamma 120.00
_symmetry_space_group_name_H-M 'R 3 m'
_symmetry_Int_Tables_number 160
_symmetry_space_group_name_Hall 'R 3 -2"'
loop_
_atom_site_label
_atom_site_type_symbol
_atom_site_fract_x
_atom_site_fract_y
_atom_site_fract_z
Pr1 Pr 0.0000 0.0000 0.0000
Nd1 Nd 0.0000 0.0000 0.5120
Pt1 Pt 0.0000 0.0000 0.2553
Se1 Se 0.0000 0.0000 0.7566


Record 2
# GGA-PBE Pr2NdSi3Pt12, optimized geometry
# E_form (uncorrected)	-0.516	eV/atom
# crystal system	trigonal
data_Pr2NdSi3Pt12
_cell_length_a 8.3604
_cell_length_b 8.3604
_cell_length_c 18.3622
_cell_angle_alpha 90.00
_cell_angle_beta 90.00
_cell_angle_gamma 120.00
_symmetry_space_group_name_H-M 'R -3 m'
_symmetry_Int_Tables_number 166
_symmetry_space_group_name_Hall '-R 3 2"'
loop_
_atom_site_label
_atom_site_type_symbol
_atom_site_fract_x
_atom_site_fract_y
_atom_site_fract_z
Pr1 Pr 0.0000 0.0000 0.0973
Nd1 Nd 0.0000 0.0000 0.5000
Si1 Si 0.0000 0.5000 0.0000
Pt1 Pt 0.0352 0.5176 0.3648
Pt2 Pt 0.0389 0.5194 0.8716


Record 3
# GGA-PBE TbPr2NdPt2, optimized geometry
# crystal system	orthorhombic
# E_form	-0.77	eV per atom
data_TbPr2NdPt2
_cell_length_a 6.960
_cell_length_b 14.336
_cell_length_c 6.948
_cell_angle_alpha 90.00
_cell_angle_beta 90.00
_cell_angle_gamma 90.00
_symmetry_space_group_name_H-M 'I b a m'
_symmetry_Int_Tables_number 72
_symmetry_space_group_name_Hall '-I 2 2c'
loop_
_atom_site_label
_atom_site_type_symbol
_atom_site_fract_x
_atom_site_fract_y
_atom_site_fract_z
Tb1 Tb 0.000 0.000 0.250
Pr1 Pr 0.205 0.193 0.000
Nd1 Nd 0.000 0.500 0.250
Pt1 Pt 0.231 0.110 0.500


Record 4
# GGA-PBE PrNdTePt, optimized geometry
# E_form (uncorrected)	-1.252	eV/atom
# crystal system	trigonal
data_PrNdTePt
_cell_length_a 4.2815
_cell_length_b 4.2815
_cell_length_c 22.8112
_cell_angle_alpha 90.00
_cell_angle_beta 90.00
_cell_angle_gamma 120.00
_symmetry_space_group_name_H-M 'R 3 m'
_symmetry_Int_Tables_number 160
_symmetry_space_group_name_Hall 'R 3 -2"'
loop_
_atom_site_label
_atom_site_type_symbol
_atom_site_fract_x
_atom_site_fract_y
_atom_site_fract_z
Pr1 Pr 0.0000 0.0000 0.0000
Nd1 Nd 0.0000 0.0000 0.5236
Te1 Te 0.0000 0.0000 0.7624
Pt1 Pt 0.0000 0.0000 0.2611


Record 5
# GGA-PBE PrNdTh2Pt4, optimized geometry
# crystal system	orthorhombic
# E_form	-1.19	eV per atom
data_PrNdTh2Pt4
_cell_length_a 8.383
_cell_length_b 11.976
_cell_length_c 8.384
_cell_angle_alpha 90.00
_cell_angle_beta 90.00
_cell_angle_gamma 90.00
_symmetry_space_group_name_H-M 'F m m 2'
_symmetry_Int_Tables_number 42
_symmetry_space_group_name_Hall 'F 2 -2'
loop_
_atom_site_label
_atom_site_type_symbol
_atom_site_fract_x
_atom_site_fract_y
_atom_site_fract_z
Pr1 Pr 0.000 0.000 0.000
Nd1 Nd 0.000 0.000 0.498
Th1 Th 0.250 0.250 0.248
Pt1 Pt 0.000 0.249 0.498
Pt2 Pt 0.249 0.000 0.749


Record 6
# GGA-PBE Pr2NdThPt2, optimized geometry
# crystal system	orthorhombic
# E_form	-0.72	eV per atom
data_Pr2NdThPt2
_cell_length_a 7.186
_cell_length_b 14.093
_cell_length_c 7.197
_cell_angle_alpha 90.00
_cell_angle_beta 90.00
_cell_angle_gamma 90.00
_symmetry_space_group_name_H-M 'I b a m'
_symmetry_Int_Tables_number 72
_symmetry_space_group_name_Hall '-I 2 2c'
loop_
_atom_site_label
_atom_site_type_symbol
_atom_site_fract_x
_atom_site_fract_y
_atom_site_fract_z
Pr1 Pr 0.218 0.194 0.000
Nd1 Nd 0.000 0.500 0.250
Th1 Th 0.000 0.000 0.250
Pt1 Pt 0.231 0.104 0.500


Record 7
# GGA-PBE PrNdTlPt, optimized geometry
# crystal system	cubic
# E_form	-0.59	eV per atom
data_PrNdTlPt
_cell_length_a 7.551
_cell_length_b 7.551
_cell_length_c 7.551
_cell_angle_alpha 90.00
_cell_angle_beta 90.00
_cell_angle_gamma 90.00
_symmetry_space_group_name_H-M 'F -4 3 m'
_symmetry_Int_Tables_number 216
_symmetry_space_group_name_Hall 'F -4 2 3'
loop_
_atom_site_label
_atom_site_type_symbol
_atom_site_fract_x
_atom_site_fract_y
_atom_site_fract_z
Pr1 Pr 0.000 0.000 0.000
Nd1 Nd 0.000 0.000 0.500
Tl1 Tl 0.250 0.250 0.750
Pt1 Pt 0.250 0.250 0.250


Record 8
# GGA-PBE PrNd2Pu, optimized geometry
# energy above the lowest structure with this stoichiometry	0.012	eV/atom
# crystal system	trigonal
# E_form	0.13	eV per atom
data_PrNd2Pu
_cell_length_a 3.6383
_cell_length_b 3.6383
_cell_length_c 35.3785
_cell_angle_alpha 90.00
_cell_angle_beta 90.00
_cell_angle_gamma 120.00
_symmetry_space_group_name_H-M 'R 3 m'
_symmetry_Int_Tables_number 160
_symmetry_space_group_name_Hall 'R 3 -2"'
loop_
_atom_site_label
_atom_site_type_symbol
_atom_site_fract_x
_atom_site_fract_y
_atom_site_fract_z
Pr1 Pr 0.0000 0.0000 0.0000
Nd1 Nd 0.0000 0.0000 0.5801
Nd2 Nd 0.0000 0.0000 0.7529
Pu1 Pu 0.0000 0.0000 0.1665


Record 9
# GGA-PBE Pr7Nd12Pu, optimized geometry
# crystal system	cubic
# E_form	0.62	eV per atom
data_Pr7Nd12Pu
_cell_length_a 11.723
_cell_length_b 11.723
_cell_length_c 11.723
_cell_angle_alpha 90.00
_cell_angle_beta 90.00
_cell_angle_gamma 90.00
_symmetry_space_group_name_H-M 'I m -3 m'
_symmetry_Int_Tables_number 229
_symmetry_space_group_name_Hall '-I 4 2 3'
loop_
_atom_site_label
_atom_site_type_symbol
_atom_site_fract_x
_atom_site_fract_y
_atom_site_fract_z
Pr1 Pr 0.000 0.000 0.500
Pr2 Pr 0.250 0.250 0.250
Nd1 Nd 0.000 0.246 0.246
Pu1 Pu 0.000 0.000 0.000


Record 10
# GGA-PBE PrNdPu4, optimized geometry
# crystal system	cubic
# E_form	0.25	eV per atom
data_PrNdPu4
_cell_length_a 8.833
_cell_length_b 8.833
_cell_length_c 8.833
_cell_angle_alpha 90.00
_cell_angle_beta 90.00
_cell_angle_gamma 90.00
_symmetry_space_group_name_H-M 'F -4 3 m'
_symmetry_Int_Tables_number 216
_symmetry_space_group_name_Hall 'F -4 2 3'
loop_
_atom_site_label
_atom_site_type_symbol
_atom_site_fract_x
_atom_site_fract_y
_atom_site_fract_z
Pr1 Pr 0.000 0.000 0.000
Nd1 Nd 0.250 0.250 0.750
Pu1 Pu 0.125 0.125 0.375


Record 11
# GGA-PBE Pr6Nd5Pu, optimized geometry
# crystal system	monoclinic
# E_form	0.05	eV per atom
data_Pr6Nd5Pu
_cell_length_a 6.377
_cell_length_b 11.076
_cell_length_c 12.139
_cell_angle_alpha 90.00
_cell_angle_beta 100.30
_cell_angle_gamma 90.00
_symmetry_space_group_name_H-M 'C 1 2/m 1'
_symmetry_Int_Tables_number 12
loop_
_symmetry_equiv_pos_as_xyz
'x,y,z'
'-x,-y,-z'
'-x,y,-z'
'x,-y,z'
'x+1/2,y+1/2,z'
'-x+1/2,-y+1/2,-z'
'-x+1/2,y+1/2,-z'
'x+1/2,-y+1/2,z'
loop_
_atom_site_label
_atom_site_type_symbol
_atom_site_fract_x
_atom_site_fract_y
_atom_site_fract_z
Pr1 Pr 0.247 0.000 0.253
Pr2 Pr 0.247 0.164 0.747
Nd1 Nd 0.000 0.166 0.000
Nd2 Nd 0.000 0.334 0.500
Nd3 Nd 0.000 0.500 0.000
Pu1 Pu 0.000 0.000 0.500


Record 12
# GGA-PBE Pr5Nd6Pu, optimized geometry
# crystal system	monoclinic
# E_form	0.05	eV per atom
data_Pr5Nd6Pu
_cell_length_a 6.370
_cell_length_b 11.058
_cell_length_c 12.134
_cell_angle_alpha 90.00
_cell_angle_beta 100.25
_cell_angle_gamma 90.00
_symmetry_space_group_name_H-M 'C 1 2/m 1'
_symmetry_Int_Tables_number 12
loop_
_symmetry_equiv_pos_as_xyz
'x,y,z'
'-x,-y,-z'
'-x,y,-z'
'x,-y,z'
'x+1/2,y+1/2,z'
'-x+1/2,-y+1/2,-z'
'-x+1/2,y+1/2,-z'
'x+1/2,-y+1/2,z'
loop_
_atom_site_label
_atom_site_type_symbol
_atom_site_fract_x
_atom_site_fract_y
_atom_site_fract_z
Pr1 Pr 0.000 0.000 0.000
Pr2 Pr 0.000 0.167 0.500
Pr3 Pr 0.000 0.334 0.000
Nd1 Nd 0.246 0.500 0.253
Nd2 Nd 0.247 0.336 0.747
Pu1 Pu 0.000 0.500 0.500


Record 13
# GGA-PBE PrNd2Pu, optimized geometry
# energy above the lowest structure with this stoichiometry	0.000	eV/atom
# crystal system	tetragonal
# E_form	0.12	eV per atom
data_PrNd2Pu
_cell_length_a 3.606
_cell_length_b 3.606
_cell_length_c 10.339
_cell_angle_alpha 90.00
_cell_angle_beta 90.00
_cell_angle_gamma 90.00
_symmetry_space_group_name_H-M 'P 4/m m m'
_symmetry_Int_Tables_number 123
_symmetry_space_group_name_Hall '-P 4 2'
loop_
_atom_site_label
_atom_site_type_symbol
_atom_site_fract_x
_atom_site_fract_y
_atom_site_fract_z
Pr1 Pr 0.000 0.000 0.000
Nd1 Nd 0.500 0.500 0.261
Pu1 Pu 0.000 0.000 0.500


Record 14
# GGA-PBE PrNd2Pu, optimized geometry
# energy above the lowest structure with this stoichiometry	0.038	eV/atom
# crystal system	tetragonal
# E_form	0.16	eV per atom
data_PrNd2Pu
_cell_length_a 5.108
_cell_length_b 5.108
_cell_length_c 5.120
_cell_angle_alpha 90.00
_cell_angle_beta 90.00
_cell_angle_gamma 90.00
_symmetry_space_group_name_H-M 'P 4/m m m'
_symmetry_Int_Tables_number 123
_symmetry_space_group_name_Hall '-P 4 2'
loop_
_atom_site_label
_atom_site_type_symbol
_atom_site_fract_x
_atom_site_fract_y
_atom_site_fract_z
Pr1 Pr 0.000 0.000 0.000
Nd1 Nd 0.000 0.500 0.500
Pu1 Pu 0.500 0.500 0.000


Record 15
# GGA-PBE Pr12Nd7Pu, optimized geometry
# crystal system	cubic
# E_form	0.62	eV per atom
data_Pr12Nd7Pu
_cell_length_a 11.775
_cell_length_b 11.775
_cell_length_c 11.775
_cell_angle_alpha 90.00
_cell_angle_beta 90.00
_cell_angle_gamma 90.00
_symmetry_space_group_name_H-M 'I m -3'
_symmetry_Int_Tables_number 204
_symmetry_space_group_name_Hall '-I 2 2 3'
loop_
_atom_site_label
_atom_site_type_symbol
_atom_site_fract_x
_atom_site_fract_y
_atom_site_fract_z
Pr1 Pr 0.000 0.248 0.249
Nd1 Nd 0.000 0.000 0.500
Nd2 Nd 0.250 0.250 0.250
Pu1 Pu 0.000 0.000 0.000


Record 16
# GGA-PBE Pr8Nd5Pu, optimized geometry
# crystal system	monoclinic
# E_form	0.20	eV per atom
data_Pr8Nd5Pu
_cell_length_a 14.907
_cell_length_b 8.851
_cell_length_c 9.753
_cell_angle_alpha 90.00
_cell_angle_beta 128.47
_cell_angle_gamma 90.00
_symmetry_space_group_name_H-M 'C 1 2 1'
_symmetry_Int_Tables_number 5
loop_
_symmetry_equiv_pos_as_xyz
'x,y,z'
'-x,y,-z'
'x+1/2,y+1/2,z'
'-x+1/2,y+1/2,-z'
loop_
_atom_site_label
_atom_site_type_symbol
_atom_site_fract_x
_atom_site_fract_y
_atom_site_fract_z
Pr1 Pr 0.041 0.000 0.199
Pr2 Pr 0.160 0.381 0.124
Pr3 Pr 0.194 0.670 0.455
Pr4 Pr 0.250 0.314 0.840
Nd1 Nd 0.000 0.011 0.500
Nd2 Nd 0.044 0.347 0.368
Nd3 Nd 0.103 0.664 0.743
Pu1 Pu 0.000 0.670 0.000


Record 17
# GGA-PBE Pr14NdPu, optimized geometry
# crystal system	orthorhombic
# E_form	0.04	eV per atom
data_Pr14NdPu
_cell_length_a 10.434
_cell_length_b 10.450
_cell_length_c 10.447
_cell_angle_alpha 90.00
_cell_angle_beta 90.00
_cell_angle_gamma 90.00
_symmetry_space_group_name_H-M 'A m m 2'
_symmetry_Int_Tables_number 38
loop_
_symmetry_equiv_pos_as_xyz
'x,y,z'
'-x,-y,z'
'-x,y,z'
'x,-y,z'
'x,y+1/2,z+1/2'
'-x,-y+1/2,z+1/2'
'-x,y+1/2,z+1/2'
'x,-y+1/2,z+1/2'
loop_
_atom_site_label
_atom_site_type_symbol
_atom_site_fract_x
_atom_site_fract_y
_atom_site_fract_z
Pr1 Pr 0.000 0.000 0.000
Pr2 Pr 0.000 0.000 0.500
Pr3 Pr 0.000 0.250 0.250
Pr4 Pr 0.254 0.000 0.247
Pr5 Pr 0.254 0.000 0.752
Pr6 Pr 0.254 0.248 0.000
Pr7 Pr 0.500 0.250 0.250
Nd1 Nd 0.500 0.000 0.499
Pu1 Pu 0.500 0.000 0.000


Record 18
# GGA-PBE Pr6Nd3Pu, optimized geometry
# crystal system	monoclinic
# E_form	0.23	eV per atom
data_Pr6Nd3Pu
_cell_length_a 9.414
_cell_length_b 9.845
_cell_length_c 7.674
_cell_angle_alpha 90.00
_cell_angle_beta 90.05
_cell_angle_gamma 90.00
_symmetry_space_group_name_H-M 'P 1 21/c 1'
_symmetry_Int_Tables_number 14
loop_
_symmetry_equiv_pos_as_xyz
'x,y,z'
'-x,-y,-z'
'-x,y+1/2,-z+1/2'
'x,-y+1/2,z+1/2'
loop_
_atom_site_label
_atom_site_type_symbol
_atom_site_fract_x
_atom_site_fract_y
_atom_site_fract_z
Pr1 Pr 0.085 0.159 0.396
Pr2 Pr 0.256 0.030 0.738
Pr3 Pr 0.414 0.156 0.100
Nd1 Nd 0.000 0.000 0.000
Nd2 Nd 0.256 0.677 0.765
Pu1 Pu 0.500 0.000 0.500


Record 19
# GGA-PBE Pr4Nd3PuS8, optimized geometry
# E_form (uncorrected)	-1.997	eV/atom
# crystal system	trigonal
data_Pr4Nd3PuS8
_cell_length_a 8.1465
_cell_length_b 8.1465
_cell_length_c 19.9801
_cell_angle_alpha 90.00
_cell_angle_beta 90.00
_cell_angle_gamma 120.00
_symmetry_space_group_name_H-M 'R -3 m'
_symmetry_Int_Tables_number 166
_symmetry_space_group_name_Hall '-R 3 2"'
loop_
_atom_site_label
_atom_site_type_symbol
_atom_site_fract_x
_atom_site_fract_y
_atom_site_fract_z
Pr1 Pr 0.0000 0.0000 0.0000
Pr2 Pr 0.0000 0.5000 0.0000
Nd1 Nd 0.0000 0.5000 0.5000
Pu1 Pu 0.0000 0.0000 0.5000
S1 S 0.0000 0.0000 0.2489
S2 S 0.0049 0.5024 0.2478


Record 20
# GGA-PBE PrNdPu2S4, optimized geometry
# E_form (uncorrected)	-1.911	eV/atom
# crystal system	monoclinic
data_PrNdPu2S4
_cell_length_a 6.952
_cell_length_b 4.012
_cell_length_c 6.989
_cell_angle_alpha 90.00
_cell_angle_beta 109.35
_cell_angle_gamma 90.00
_symmetry_space_group_name_H-M 'P 1 2/m 1'
_symmetry_Int_Tables_number 10
loop_
_symmetry_equiv_pos_as_xyz
'x,y,z'
'-x,-y,-z'
'-x,y,-z'
'x,-y,z'
loop_
_atom_site_label
_atom_site_type_symbol
_atom_site_fract_x
_atom_site_fract_y
_atom_site_fract_z
Pr1 Pr 0.000 0.000 0.000
Nd1 Nd 0.500 0.500 0.000
Pu1 Pu 0.000 0.500 0.500
Pu2 Pu 0.500 0.000 0.500
S1 S 0.248 0.000 0.738
S2 S 0.255 0.500 0.263


It is found that the size of the total moment values, taken in the order of the records, are 0.00, 0.00, 0.00, 0.00, 0.00, 0.00, 0.00, 6.27, 7.13, 22.72, 6.76, 6.76, 6.43, 6.41, 7.06, 6.32, 6.80, 6.48, 5.62, 11.18 μB per formula unit.